Record 1
A plane-wave DFT calculation with PBE was carried out for Pr2NdPt after structural relaxation.

Results
SG	No. 160
excess energy over the best structure of this formula in the dataset	63	kJ/mol of formula units
E_form	-0.444	eV/atom
N(E_F)	4.77	states/eV/f.u.

Lattice parameters (Å, degrees): 4.052 4.052 9.737 77.99 77.99 60.00
Positions (direct):
Pt 0.666 0.666 0.002
Pr 0.272 0.272 0.184
Pr 0.061 0.061 0.816
Nd 0.501 0.501 0.498



Record 2
A plane-wave DFT calculation with PBE was carried out for Pr2NdPt2 after structural relaxation.

Results
SG	No. 127
excess energy over the best structure of this formula in the dataset	0	kJ/mol of formula units
E_form	-0.904	eV/atom
N(E_F)	4.07	states/eV/f.u.

Lattice parameters (Å, degrees): 4.094 8.037 8.037 90.00 90.00 90.00
Positions (direct):
Nd 0.000 0.000 0.000
Nd 0.000 0.500 0.500
Pr 0.500 0.836 0.336
Pr 0.500 0.164 0.664
Pr 0.500 0.336 0.164
Pr 0.500 0.664 0.836
Pt 0.000 0.633 0.133
Pt 0.000 0.367 0.867
Pt 0.000 0.867 0.633
Pt 0.000 0.133 0.367



Record 3
A plane-wave DFT calculation with PBE was carried out for PrNd2Pt2 after structural relaxation.

Results
SG	No. 12
excess energy over the best structure of this formula in the dataset	86	kJ/mol of formula units
E_form	-0.732	eV/atom
N(E_F)	4.31	states/eV/f.u.

Lattice parameters (Å, degrees): 4.860 4.860 6.652 108.90 108.90 90.06
Positions (direct):
Pt 0.368 0.368 0.779
Pt 0.632 0.632 0.221
Pr 0.000 0.000 0.000
Nd 0.746 0.254 0.500
Nd 0.254 0.746 0.500



Record 4
A plane-wave DFT calculation with PBE was carried out for PrNd2Pt9 after structural relaxation.

Results
SG	No. 166
E_form	-0.919	eV/atom
N(E_F)	9.53	states/eV/f.u.

Lattice parameters (Å, degrees): 5.481 5.481 9.479 73.19 73.19 60.00
Positions (direct):
Nd 0.861 0.861 0.418
Nd 0.139 0.139 0.582
Pt 0.081 0.586 0.746
Pt 0.919 0.414 0.254
Pt 0.414 0.919 0.254
Pt 0.667 0.667 0.999
Pt 0.333 0.333 0.001
Pt 0.414 0.414 0.254
Pt 0.500 0.500 0.500
Pt 0.586 0.586 0.746
Pt 0.586 0.081 0.746
Pr 0.000 0.000 0.000



Record 5
A plane-wave DFT calculation with PBE was carried out for PrNd2Pt2 after structural relaxation.

Results
SG	No. 127
excess energy over the best structure of this formula in the dataset	0	kJ/mol of formula units
E_form	-0.911	eV/atom
N(E_F)	4.05	states/eV/f.u.

Lattice parameters (Å, degrees): 4.052 8.040 8.040 90.00 90.00 90.00
Positions (direct):
Nd 0.500 0.163 0.663
Nd 0.500 0.837 0.337
Nd 0.500 0.337 0.163
Nd 0.500 0.663 0.837
Pt 0.000 0.132 0.368
Pt 0.000 0.632 0.132
Pt 0.000 0.368 0.868
Pt 0.000 0.868 0.632
Pr 0.000 0.500 0.500
Pr 0.000 0.000 0.000



Record 6
A plane-wave DFT calculation with PBE was carried out for Pr2NdSb3Pt4 after structural relaxation.

Results
SG	No. 115
uncorrected formation energy	-9.12	eV per formula unit
N(E_F)	3.16	states/eV/f.u.

Lattice parameters (Å, degrees): 4.592 4.592 11.484 90.00 90.00 90.00
Positions (direct):
Pt 0.000 0.500 0.352
Pt 0.500 0.500 0.000
Pt 0.500 0.000 0.648
Pt 0.000 0.000 0.000
Sb 0.000 0.000 0.500
Sb 0.000 0.500 0.127
Sb 0.500 0.000 0.873
Nd 0.500 0.500 0.500
Pr 0.000 0.500 0.791
Pr 0.500 0.000 0.209



What is the N(E_F) in the second record?
4.07 states/eV/f.u.



What is the N(E_F) in the fifth record?
4.05 states/eV/f.u.



Please write out number 6 again, unchanged.
A plane-wave DFT calculation with PBE was carried out for Pr2NdSb3Pt4 after structural relaxation.

Results
SG	No. 115
uncorrected formation energy	-9.12	eV per formula unit
N(E_F)	3.16	states/eV/f.u.

Lattice parameters (Å, degrees): 4.592 4.592 11.484 90.00 90.00 90.00
Positions (direct):
Pt 0.000 0.500 0.352
Pt 0.500 0.500 0.000
Pt 0.500 0.000 0.648
Pt 0.000 0.000 0.000
Sb 0.000 0.000 0.500
Sb 0.000 0.500 0.127
Sb 0.500 0.000 0.873
Nd 0.500 0.500 0.500
Pr 0.000 0.500 0.791
Pr 0.500 0.000 0.209



N(E_F) of number 3 (PrNd2Pt2)?
4.31 states/eV/f.u.